Computed, not measured: SrSnHPd2 after structural relaxation at the PBE-GGA level of DFT.

Properties
volume: 186.3 Å³ per cell
symmetry: Cmcm, No. 63
calculated total energy: -4.519 eV per atom

Unit cell a=3.959 b=6.351 c=7.799 alpha=90.00 beta=90.00 gamma=108.16
Fractional coordinates of all 10 atoms:
1 Sn 0.263 0.527 0.250
2 Sn 0.737 0.473 0.750
3 Pd 0.850 0.700 0.053
4 Pd 0.150 0.300 0.947
5 Pd 0.850 0.700 0.447
6 Pd 0.150 0.300 0.553
7 H 0.000 0.000 0.500
8 H 0.000 0.000 0.000
9 Sr 0.461 0.922 0.750
10 Sr 0.539 0.078 0.250